Entry from Alexandria: crystalline SmEuGaAg at its relaxed geometry (GGA-PBE).

Structure (CIF):
```
data_SmEuGaAg
_cell_length_a 7.457
_cell_length_b 7.457
_cell_length_c 7.457
_cell_angle_alpha 90.00
_cell_angle_beta 90.00
_cell_angle_gamma 90.00
_symmetry_space_group_name_H-M 'F -4 3 m'
_symmetry_Int_Tables_number 216
_symmetry_space_group_name_Hall 'F -4 2 3'
loop_
_atom_site_label
_atom_site_type_symbol
_atom_site_fract_x
_atom_site_fract_y
_atom_site_fract_z
Sm1 Sm 0.000 0.000 0.000
Eu1 Eu 0.000 0.000 0.500
Ga1 Ga 0.250 0.250 0.750
Ag1 Ag 0.250 0.250 0.250
```

Values from the calculation:
As for the density of states at the Fermi level: 2.191 states/eV per atom. As for the uncorrected energy: -5.601 eV/atom. As for the formation energy from the elements: -0.383 eV per atom. Its spin magnetization is 1.727 μB per atom.